1.
DFT (GGA-PBE) results for an optimized crystal structure of MgFe2Pb.

Output
Energy of formation (eV/atom): 0.450
Density (Mg/m³): 7.99
Space-group type: P2/m

Cell: 4.245 2.964 5.795 Å, 77.97 90.00 90.00°
Element x y z (fractional)
Fe 0.000 0.922 0.046
Fe 0.000 0.578 0.454
Mg 0.500 0.250 0.250
Pb 0.500 0.750 0.750


2.
DFT (GGA-PBE) results for an optimized crystal structure of BaLa2W.

Output
Energy above the lowest structure with this stoichiometry (meV/atom): 427
Energy of formation (eV/atom): 0.912
Density (Mg/m³): 8.48
Space-group type: F-43m

Cell: 5.493 5.493 5.493 Å, 60.00 60.00 60.00°
Element x y z (fractional)
Ba 0.500 0.500 0.500
W 0.750 0.750 0.750
La 0.000 0.000 0.000
La 0.250 0.250 0.250


3.
DFT (GGA-PBE) results for an optimized crystal structure of Ni4As.

Output
Energy above the lowest structure with this stoichiometry (meV/atom): 410
Energy of formation (eV/atom): 0.302
Density (Mg/m³): 7.19
Space-group type: Im-3m

Cell: 4.530 4.530 4.530 Å, 109.47 109.47 109.47°
Element x y z (fractional)
Ni 0.000 0.500 0.000
Ni 0.000 0.000 0.500
Ni 0.500 0.500 0.500
Ni 0.500 0.000 0.000
As 0.000 0.000 0.000